## K2GaSb2Pb (GGA-PBE)

Data for a geometry-optimized K2GaSb2Pb structure.

Structure (POSCAR):
```
K2GaSb2Pb
1.0
7.8889 0.0000 0.0000
0.0000 7.2567 0.0000
-3.9445 -3.6283 7.6379
Sb K Ga Pb
4 4 2 2
Direct
0.8086 0.0944 0.1889
0.3802 0.5944 0.1889
0.1914 0.9056 0.8111
0.6198 0.4056 0.8111
0.1058 0.3310 0.6620
0.5562 0.8310 0.6620
0.8942 0.6690 0.3380
0.4438 0.1690 0.3380
0.5000 0.2500 0.0000
0.5000 0.7500 0.0000
0.0000 0.2500 0.0000
0.0000 0.7500 0.0000
```

Computed properties:
Raw total energy = -3.1617 eV per atom
Formation energy (no corrections) = -1.8 eV/f.u.